Computed, not measured: crystalline RbBe2OsBr at its relaxed geometry at the GGA-PBEsol level of DFT.

a = 4.4925 Å, b = 4.4925 Å, c = 5.5615 Å
α = 90.00°, β = 90.00°, γ = 90.00°
With the nearest neighbours (Å) after each atom.
Atoms (fractional coordinates):
Rb 0.0000 0.0000 0.0000  2 Br 2.78
Be 0.0000 0.5000 0.5000  2 Br 2.25
Be 0.5000 0.0000 0.5000  2 Br 2.25
Os 0.5000 0.5000 0.0000  4 Rb 3.18
Br 0.0000 0.0000 0.5000  4 Be 2.25

N(E_F) = 0.786 states/eV per atom
formation energy (no corrections) = 2.063 eV per atom